Record 1
This record from the Alexandria database describes an optimized crystal structure of UCoSi2Os2. The functional is GGA-PBE.

It has space group P4/mmm (No. 123), with a = 4.354 Å, b = 4.354 Å, c = 5.148 Å, α = 90.00°, β = 90.00° and γ = 90.00°. The asymmetric unit holds U at (0.000, 0.000, 0.000), Co at (0.000, 0.000, 0.500), Si at (0.000, 0.500, 0.500) and Os at (0.500, 0.500, 0.238).

The uncorrected formation energy comes out at 0.098 eV/atom. The value obtained for the density of states at the Fermi level is 1.62 states/eV/atom. The calculation puts the total magnetic moment at 1.47 μB per formula unit. The volume comes out at 97.6 Å³/cell.

Record 2
This record from the Alexandria database describes an optimized crystal structure of UCoSi2Os. The functional is GGA-PBE.

It has space group I-4m2 (No. 119), with a = 4.004 Å, b = 4.004 Å, c = 9.754 Å, α = 90.00°, β = 90.00° and γ = 90.00°. The asymmetric unit holds U at (0.000, 0.000, 0.000), Co at (0.000, 0.500, 0.250), Si at (0.000, 0.000, 0.377) and Os at (0.000, 0.500, 0.750).

The uncorrected formation energy comes out at -0.538 eV/atom. The value obtained for the density of states at the Fermi level is 1.23 states/eV/atom. The calculation puts the total magnetic moment at 1.77 μB per formula unit. The volume comes out at 156.4 Å³/cell.

Record 3
This record from the Alexandria database describes an optimized crystal structure of U2CoSi4Os3. The functional is GGA-PBE.

It has space group P-4m2 (No. 115), with a = 4.023 Å, b = 4.023 Å, c = 9.944 Å, α = 90.00°, β = 90.00° and γ = 90.00°. The asymmetric unit holds U at (0.000, 0.500, 0.247), Co at (0.500, 0.500, 0.000), Si at (0.000, 0.000, 0.500), Si at (0.000, 0.500, 0.876), Si at (0.500, 0.500, 0.500), Os at (0.000, 0.000, 0.000) and Os at (0.000, 0.500, 0.638).

The uncorrected formation energy comes out at -0.445 eV/atom. The value obtained for the density of states at the Fermi level is 0.85 states/eV/atom. The calculation puts the total magnetic moment at 0.00 μB per formula unit. The volume comes out at 160.9 Å³/cell.

Record 4
This record from the Alexandria database describes an optimized crystal structure of UCo2Si2Os. The functional is GGA-PBE.

It has space group P-3m1 (No. 164), with a = 3.9874 Å, b = 3.9874 Å, c = 6.1626 Å, α = 90.00°, β = 90.00° and γ = 120.00°. The asymmetric unit holds U at (0.0000, 0.0000, 0.0000), Co at (0.3333, 0.6667, 0.2644), Si at (0.3333, 0.6667, 0.6741) and Os at (0.0000, 0.0000, 0.5000).

The uncorrected formation energy comes out at -0.441 eV/atom. The value obtained for the density of states at the Fermi level is 0.97 states/eV/atom. The calculation puts the total magnetic moment at 0.00 μB per formula unit. The volume comes out at 84.9 Å³/cell.

Record 5
This record from the Alexandria database describes an optimized crystal structure of YCoSi3Os. The functional is GGA-PBE.

It has space group Cmcm (No. 63), with a = 7.296 Å, b = 11.291 Å, c = 5.312 Å, α = 90.00°, β = 90.00° and γ = 90.00°. The asymmetric unit holds Y at (0.000, 0.215, 0.250), Co at (0.000, 0.452, 0.750), Si at (0.000, 0.271, 0.750), Si at (0.242, 0.500, 0.000) and Os at (0.000, 0.073, 0.750).

The uncorrected formation energy comes out at -0.342 eV/atom. The value obtained for the density of states at the Fermi level is 0.20 states/eV/atom. The calculation puts the total magnetic moment at 0.00 μB per formula unit. The volume comes out at 437.6 Å³/cell.

Record 6
This record from the Alexandria database describes an optimized crystal structure of YCoSi2Os. The functional is GGA-PBE.

It has space group I-4m2 (No. 119), with a = 4.031 Å, b = 4.031 Å, c = 9.791 Å, α = 90.00°, β = 90.00° and γ = 90.00°. The asymmetric unit holds Y at (0.000, 0.000, 0.000), Co at (0.000, 0.500, 0.250), Si at (0.000, 0.000, 0.372) and Os at (0.000, 0.500, 0.750).

The uncorrected formation energy comes out at -0.780 eV/atom. The value obtained for the density of states at the Fermi level is 0.45 states/eV/atom. The calculation puts the total magnetic moment at 0.00 μB per formula unit. The volume comes out at 159.1 Å³/cell.

Record 7
This record from the Alexandria database describes an optimized crystal structure of Sm3Co7Os2. The functional is GGA-PBE.

It has space group R-3m (No. 166, hexagonal axes), with a = 5.0824 Å, b = 5.0824 Å, c = 24.9286 Å, α = 90.00°, β = 90.00° and γ = 120.00°. The asymmetric unit holds Sm at (0.0000, 0.0000, 0.0000), Sm at (0.0000, 0.0000, 0.1394), Co at (0.0000, 0.0000, 0.5000), Co at (0.0038, 0.5019, 0.0825) and Os at (0.0000, 0.0000, 0.3324).

The value obtained for the density of states at the Fermi level is 1.32 states/eV/atom. As for the formation energy: -0.03 eV per atom. The calculation puts the total magnetic moment at 6.36 μB per formula unit. The volume comes out at 557.7 Å³/cell.

Record 8
This record from the Alexandria database describes an optimized crystal structure of Sm4CoOs. The functional is GGA-PBE.

It has space group I4_1md (No. 109), with a = 9.215 Å, b = 9.215 Å, c = 8.332 Å, α = 90.00°, β = 90.00° and γ = 90.00°. The asymmetric unit holds Sm at (0.000, 0.300, 0.000), Sm at (0.000, 0.303, 0.492), Co at (0.000, 0.000, 0.993) and Os at (0.000, 0.000, 0.499).

The value obtained for the density of states at the Fermi level is 0.73 states/eV/atom. As for the formation energy: -0.02 eV per atom. The calculation puts the total magnetic moment at 0.00 μB per formula unit. The volume comes out at 707.5 Å³/cell.

Record 9
This record from the Alexandria database describes an optimized crystal structure of Sm2CoOs. The functional is GGA-PBE.

It has space group P4/mmm (No. 123), with a = 3.463 Å, b = 3.463 Å, c = 6.864 Å, α = 90.00°, β = 90.00° and γ = 90.00°. The asymmetric unit holds Sm at (0.000, 0.000, 0.249), Co at (0.500, 0.500, 0.000) and Os at (0.500, 0.500, 0.500).

The value obtained for the density of states at the Fermi level is 0.70 states/eV/atom. As for the formation energy: 0.04 eV per atom. The calculation puts the total magnetic moment at 0.45 μB per formula unit. The volume comes out at 82.3 Å³/cell.

Record 10
This record from the Alexandria database describes an optimized crystal structure of Sm2CoOs. The functional is GGA-PBE.

It has space group R3m (No. 160, hexagonal axes), with a = 4.1130 Å, b = 4.1130 Å, c = 20.9430 Å, α = 90.00°, β = 90.00° and γ = 120.00°. The asymmetric unit holds Sm at (0.0000, 0.0000, 0.0000), Sm at (0.0000, 0.0000, 0.1771), Co at (0.0000, 0.0000, 0.4202) and Os at (0.0000, 0.0000, 0.7564).

The value obtained for the density of states at the Fermi level is 1.51 states/eV/atom. As for the formation energy: -0.10 eV per atom. The calculation puts the total magnetic moment at 0.82 μB per formula unit. The volume comes out at 306.9 Å³/cell.

Record 11
This record from the Alexandria database describes an optimized crystal structure of Sm8Co2Os. The functional is GGA-PBE.

It has space group Cm (No. 8), with a = 8.163 Å, b = 12.579 Å, c = 6.269 Å, α = 90.00°, β = 109.59° and γ = 90.00°. The asymmetric unit holds Sm at (0.000, 0.000, 0.000), Sm at (0.064, 0.368, 0.797), Sm at (0.140, 0.133, 0.594), Sm at (0.209, 0.500, 0.373), Sm at (0.357, 0.208, 0.187), Co at (0.351, 0.311, 0.693) and Os at (0.357, 0.000, 0.011).

The value obtained for the density of states at the Fermi level is 0.95 states/eV/atom. As for the formation energy: 0.00 eV per atom. The calculation puts the total magnetic moment at 0.00 μB per formula unit. The volume comes out at 606.4 Å³/cell.

Record 12
This record from the Alexandria database describes an optimized crystal structure of SmCoOs. The functional is GGA-PBE.

It has space group Imma (No. 74), with a = 5.123 Å, b = 5.377 Å, c = 7.555 Å, α = 90.00°, β = 90.00° and γ = 90.00°. The asymmetric unit holds Sm at (0.000, 0.250, 0.122), Co at (0.000, 0.000, 0.500) and Os at (0.250, 0.250, 0.750).

The value obtained for the density of states at the Fermi level is 1.24 states/eV/atom. As for the formation energy: -0.15 eV per atom. The calculation puts the total magnetic moment at 0.86 μB per formula unit. The volume comes out at 208.1 Å³/cell. The value obtained for the excess energy over the best structure of this formula in the dataset is 0 meV per atom.